No. 1
This record from the Alexandria database describes SbRh3 after structural relaxation. The functional is PBE.

## Properties
Energy   -6.7505 eV/atom
Theoretical density   11.5 g cm⁻³
Formation energy without anion corrections   -0.2063 eV/atom

The structure in POSCAR format:
```
SbRh3
1.0
-4.5103 -0.9176 1.2479
-2.0072 -2.2210 -3.7123
4.0672 -0.9494 2.3020
Sb Rh
1 3
Direct
0.0000 0.0000 0.0000
0.2500 0.7500 0.5000
0.5000 0.5000 0.0000
0.7500 0.2500 0.5000
```

No. 2
This record from the Alexandria database describes SbRh2 after structural relaxation. The functional is PBE.

## Properties
Energy   -6.5582 eV/atom
Theoretical density   11.0 g cm⁻³
Formation energy without anion corrections   -0.2831 eV/atom

The structure in POSCAR format:
```
SbRh2
1.0
4.7913 -0.0125 -0.0049
3.0627 3.6847 -0.0049
0.8630 0.4035 5.5858
Rh Sb
4 2
Direct
0.0379 0.0379 0.0046
0.6918 0.6918 0.5823
0.3354 0.3354 0.2764
0.3676 0.3676 0.7652
0.0109 0.0109 0.4926
0.7232 0.7232 0.0456
```

No. 3
This record from the Alexandria database describes Sb3Rh2 after structural relaxation. The functional is PBE.

## Properties
Energy   -5.7958 eV/atom
Theoretical density   8.5 g cm⁻³
Formation energy without anion corrections   -0.3817 eV/atom

The structure in POSCAR format:
```
Sb3Rh2
1.0
6.8529 0.0000 0.0000
3.4265 5.9348 0.0000
3.4265 1.9783 5.4715
Sb Rh
6 4
Direct
0.0844 0.7500 0.7500
0.7500 0.4156 0.7500
0.4156 0.0844 0.7500
0.2500 0.5844 0.2500
0.5844 0.9156 0.2500
0.9156 0.2500 0.2500
0.8380 0.8380 0.4861
0.3380 0.3380 0.9861
0.1620 0.1620 0.5139
0.6620 0.6620 0.0139
```

No. 4
This record from the Alexandria database describes SbRh after structural relaxation. The functional is PBE.

## Properties
Energy   -6.2416 eV/atom
Theoretical density   9.8 g cm⁻³
Formation energy without anion corrections   -0.5047 eV/atom

The structure in POSCAR format:
```
SbRh
1.0
3.9280 0.0000 0.0000
0.0000 6.0301 0.0000
0.0000 0.0000 6.4051
Rh Sb
4 4
Direct
0.2500 0.0062 0.8055
0.7500 0.4938 0.3055
0.7500 0.9938 0.1945
0.2500 0.5062 0.6945
0.2500 0.1963 0.4076
0.7500 0.3037 0.9076
0.7500 0.8037 0.5924
0.2500 0.6963 0.0924
```

No. 5
This record from the Alexandria database describes SbRh5 after structural relaxation. The functional is PBE.

## Properties
Energy   -6.9403 eV/atom
Theoretical density   11.7 g cm⁻³
Formation energy without anion corrections   -0.1270 eV/atom

The structure in POSCAR format:
```
SbRh5
1.0
-1.5085 5.0152 3.2062
1.9958 -5.7731 0.6294
3.7305 1.2653 -0.2240
Rh Sb
5 1
Direct
0.8019 0.1981 0.5000
0.6395 0.3605 0.0000
0.4722 0.5278 0.5000
0.3049 0.6951 0.0000
0.1426 0.8574 0.5000
0.9722 0.0278 0.0000
```

No. 6
This record from the Alexandria database describes SbRh after structural relaxation. The functional is PBE.

## Properties
Energy   -5.8531 eV/atom
Theoretical density   6.6 g cm⁻³
Formation energy without anion corrections   -0.1161 eV/atom

The structure in POSCAR format:
```
SbRh
1.0
10.8629 0.0000 0.0000
0.0000 10.8629 0.0000
0.0000 0.0000 3.8253
Sb Rh
8 8
Direct
0.4219 0.2021 0.0000
0.5781 0.7979 0.0000
0.7979 0.4219 0.0000
0.2021 0.5781 0.0000
0.9219 0.7021 0.5000
0.0781 0.2979 0.5000
0.2979 0.9219 0.5000
0.7021 0.0781 0.5000
0.3465 0.7758 0.0000
0.6535 0.2242 0.0000
0.2242 0.3465 0.0000
0.7758 0.6535 0.0000
0.8465 0.2758 0.5000
0.1535 0.7242 0.5000
0.7242 0.8465 0.5000
0.2758 0.1535 0.5000
```

No. 7
This record from the Alexandria database describes SbRh after structural relaxation. The functional is PBE.

## Properties
Energy   -5.9714 eV/atom
Theoretical density   8.4 g cm⁻³
Formation energy without anion corrections   -0.2344 eV/atom

The structure in POSCAR format:
```
SbRh
1.0
2.1830 -3.7811 0.0000
2.1830 3.7811 0.0000
0.0000 0.0000 5.3847
Sb Rh
2 2
Direct
0.6667 0.3333 0.3132
0.3333 0.6667 0.6868
0.6667 0.3333 0.8155
0.3333 0.6667 0.1845
```

No. 8
This record from the Alexandria database describes SbRh after structural relaxation. The functional is PBE.

## Properties
Energy   -5.8770 eV/atom
Theoretical density   6.1 g cm⁻³
Formation energy without anion corrections   -0.1401 eV/atom

The structure in POSCAR format:
```
SbRh
1.0
-3.2294 -5.9365 4.0524
7.1616 -2.2794 2.3681
-0.6118 4.6535 6.3295
Sb Rh
8 8
Direct
0.3115 0.3115 0.3115
0.3115 0.6885 0.6885
0.6885 0.3115 0.6885
0.6885 0.6885 0.3115
0.8115 0.8115 0.8115
0.8115 0.1885 0.1885
0.1885 0.8115 0.1885
0.1885 0.1885 0.8115
0.1287 0.1287 0.1287
0.1287 0.8713 0.8713
0.8713 0.1287 0.8713
0.8713 0.8713 0.1287
0.6287 0.6287 0.6287
0.6287 0.3713 0.3713
0.3713 0.6287 0.3713
0.3713 0.3713 0.6287
```

No. 9
This record from the Alexandria database describes SbRh after structural relaxation. The functional is PBE.

## Properties
Energy   -6.0486 eV/atom
Theoretical density   10.0 g cm⁻³
Formation energy without anion corrections   -0.3116 eV/atom

The structure in POSCAR format:
```
SbRh
1.0
-1.7214 -0.3711 6.0460
-1.3274 -3.7376 4.8912
4.6142 -0.4113 2.7729
Sb Rh
3 3
Direct
0.0000 0.0000 0.5000
0.6707 0.6707 0.7424
0.3293 0.3293 0.2576
0.6621 0.6621 0.2355
0.3379 0.3379 0.7645
0.0000 0.0000 0.0000
```

No. 10
This record from the Alexandria database describes SbRh3 after structural relaxation. The functional is PBE.

## Properties
Energy   -5.0954 eV/atom
Theoretical density   6.0 g cm⁻³
Formation energy without anion corrections   1.4488 eV/atom

The structure in POSCAR format:
```
SbRh3
1.0
-4.9132 -0.1939 -0.1484
0.2243 -4.7649 -1.2019
-0.0964 -1.2072 4.7679
Sb Rh
1 3
Direct
0.0000 0.0000 0.0000
0.5000 0.0000 0.0000
0.0000 0.5000 0.0000
0.0000 0.0000 0.5000
```

No. 11
This record from the Alexandria database describes SbRh after structural relaxation. The functional is PBE.

## Properties
Energy   -5.4725 eV/atom
Theoretical density   9.9 g cm⁻³
Formation energy without anion corrections   0.2644 eV/atom

The structure in POSCAR format:
```
SbRh
1.0
-1.7504 -1.6935 4.0720
-3.3648 -3.3446 -0.0730
1.0256 -4.4273 1.3640
Sb Rh
2 2
Direct
0.0000 0.0000 0.0000
0.2500 0.2500 0.2500
0.5000 0.5000 0.5000
0.7500 0.7500 0.7500
```

No. 12
This record from the Alexandria database describes SbRh2 after structural relaxation. The functional is PBE.

## Properties
Energy   -6.3738 eV/atom
Theoretical density   11.0 g cm⁻³
Formation energy without anion corrections   -0.0987 eV/atom

The structure in POSCAR format:
```
SbRh2
1.0
2.2711 -4.5355 1.7925
-2.1154 -4.1189 2.7387
-0.5935 3.3025 -4.2051
Sb Rh
1 2
Direct
0.0000 0.0000 0.0000
0.6522 0.6522 0.0000
0.3478 0.3478 0.0000
```

Q: What is the formula in the first record?
A: SbRh3

Q: Which of these has the highest theoretical density?
A: SbRh5